No. 1
Below is a relaxed Al3Ni4 crystal, with properties calculated at the PBE level.

The density of states at the Fermi level is 10.08 states/eV per cell. The calculation puts the energy relative to the elements at -410 meV/atom. The polymorph energy (0 for the lowest one) comes out at 0.00 eV per formula unit.

The structure belongs to space group I4/mmm (No. 139); the cell edges are 3.0131, 3.0131 and 18.8979 Å and the angles 90.00°, 90.00° and 90.00°. The asymmetric unit holds Al at (0.0000, 0.0000, 0.0000), Al at (0.0000, 0.0000, 0.2961), Ni at (0.0000, 0.0000, 0.1460) and Ni at (0.0000, 0.0000, 0.4311).

---

No. 2
Below is a relaxed Sm2TlHg6 crystal, with properties calculated at the PBE level.

The density of states at the Fermi level is 11.94 states/eV per cell. The calculation puts the energy relative to the elements at -256 meV/atom. The polymorph energy (0 for the lowest one) comes out at 0.33 eV per formula unit.

The structure belongs to space group C2/m (No. 12); the cell edges are 15.2768, 8.8228 and 3.4460 Å and the angles 90.00°, 90.16° and 90.00°. The asymmetric unit holds Sm at (0.1667, 0.0000, 0.0001), Tl at (0.0000, 0.5000, 0.0000), Hg at (0.0000, 0.1666, 0.5000) and Hg at (0.1666, 0.3334, 0.5013).

---

No. 3
Below is a relaxed SrTbTlAg crystal, with properties calculated at the PBE level.

The density of states at the Fermi level is 19.02 states/eV per cell. The calculation puts the energy relative to the elements at -278 meV/atom.

The structure belongs to space group F-43m (No. 216); the cell edges are 7.7150, 7.7150 and 7.7150 Å and the angles 90.00°, 90.00° and 90.00°. The asymmetric unit holds Sr at (0.0000, 0.0000, 0.0000), Tb at (0.0000, 0.0000, 0.5000), Tl at (0.2500, 0.2500, 0.2500) and Ag at (0.2500, 0.2500, 0.7500).

---

No. 4
Below is a relaxed RbAlCd2O4 crystal, with properties calculated at the PBE level.

The calculation puts the energy relative to the elements, uncorrected at -1.70 eV/atom.

The structure belongs to space group I-42m (No. 121); the cell edges are 5.6395, 5.6395 and 7.9041 Å and the angles 90.00°, 90.00° and 90.00°. The asymmetric unit holds Rb at (0.0000, 0.0000, 0.0000), Al at (0.0000, 0.0000, 0.5000), Cd at (0.0000, 0.5000, 0.2500) and O at (0.1826, 0.1826, 0.3676).